# 1
LiSbAu2 | meta-GGA SCAN | PBEsol geometry

The structure in POSCAR format:
```
LiSbAu2
1.0
-1.6250 -1.9579 -1.6470
-1.7794 -1.7815 3.8732
-4.2079 3.6906 -0.2356
Sb Au Li
1 2 1
Direct
0.0000 0.5000 0.2393
0.0000 0.0000 0.9872
0.0000 0.5000 0.7162
0.5000 0.0000 0.5573
```

Output
The value obtained for the total magnetization is 0.0 μB per formula unit. For the density of states at the Fermi level, the calculation gives 1.009 states/eV per cell. As for the total energy: -179.4 eV for the cell shown. The energy relative to the elements, uncorrected is -0.35 eV per atom.



# 2
CaYPb2 | meta-GGA SCAN | PBEsol geometry

The structure in POSCAR format:
```
CaYPb2
1.0
3.5341 0.0000 0.0000
0.0000 4.3755 0.0000
0.0000 0.0000 7.1802
Pb Y Ca
2 1 1
Direct
0.0000 0.0000 0.7583
0.0000 0.0000 0.2417
0.5000 0.5000 0.0000
0.5000 0.5000 0.5000
```

Output
The value obtained for the total magnetization is 0.3 μB per formula unit. For the density of states at the Fermi level, the calculation gives 1.821 states/eV per cell. As for the formation energy: -0.722 eV/atom. As for the total energy: -192.0 eV for the cell shown.